(one)
Material: TlGaF2
Method: DFT, PBE
State: relaxed

Cell: 4.669 4.669 4.669 Å, 60.00 60.00 60.00°
Element x y z (fractional)
Tl 0.000 0.000 0.000
Ga 0.500 0.500 0.500
F 0.250 0.250 0.250
F 0.750 0.750 0.750

Properties
The spin magnetization comes out at 0.00 μB/cell.


(two)
Material: TlGaF2
Method: DFT, PBE
State: relaxed

Cell: 5.089 6.210 6.212 Å, 119.58 92.10 91.94°
Element x y z (fractional)
Tl 0.000 0.000 0.000
Tl 0.500 0.324 0.678
Ga 0.427 0.686 0.329
Ga 0.927 0.651 0.364
F 0.406 0.322 0.113
F 0.436 0.767 0.063
F 0.906 0.437 0.000
F 0.938 0.384 0.444

Properties
The spin magnetization comes out at 0.00 μB/cell.


(three)
Material: TlGaF2
Method: DFT, PBE
State: relaxed

Cell: 7.985 7.985 7.985 Å, 26.97 26.97 26.97°
Element x y z (fractional)
Tl 0.000 0.000 0.000
Ga 0.500 0.500 0.500
F 0.410 0.410 0.410
F 0.590 0.590 0.590

Properties
The spin magnetization comes out at 0.00 μB/cell.


(four)
Material: TlGaF2
Method: DFT, PBE
State: relaxed

Cell: 7.364 7.364 7.364 Å, 133.99 133.99 67.10°
Element x y z (fractional)
Tl 0.000 0.000 0.000
Tl 0.750 0.250 0.500
Ga 0.250 0.750 0.500
Ga 0.500 0.500 0.000
F 0.165 0.625 0.040
F 0.375 0.415 0.540
F 0.585 0.125 0.960
F 0.875 0.835 0.460

Properties
The spin magnetization comes out at 0.00 μB/cell.


Name the least stable of them. (one).


(one)
Material: TmGaF
Method: DFT, PBE
State: relaxed

Cell: 3.335 3.335 8.911 Å, 90.00 90.00 90.00°
Element x y z (fractional)
Tm 0.250 0.250 0.195
Tm 0.750 0.750 0.805
Ga 0.250 0.250 0.587
Ga 0.750 0.750 0.413
F 0.250 0.250 0.936
F 0.750 0.750 0.064

Properties
The spin magnetization comes out at 0.00 μB/cell.


(two)
Material: TmGaF
Method: DFT, PBE
State: relaxed

Cell: 6.020 6.020 6.020 Å, 149.28 149.28 44.00°
Element x y z (fractional)
Tm 0.000 0.000 0.000
Ga 0.288 0.288 0.000
F 0.556 0.556 0.000

Properties
The spin magnetization comes out at 0.00 μB/cell.


Name the least stable of them. (two).